DFT (PBE) results for a relaxed LaAs2 crystal.

Cell and atoms, written as CIF:
```
data_LaAs2
_space_group_name_H-M_alt 'I 4/m m m'
_space_group_IT_number 139
_space_group_name_Hall '-I 4 2'
_cell_length_a 4.1625
_cell_length_b 4.1625
_cell_length_c 9.2150
_cell_angle_alpha 90.00
_cell_angle_beta 90.00
_cell_angle_gamma 90.00
loop_
_atom_site_label
_atom_site_type_symbol
_atom_site_fract_x
_atom_site_fract_y
_atom_site_fract_z
La1 La 0.0000 0.0000 0.0000
As1 As 0.0000 0.0000 0.3693
```

Output
E = -33.51 eV/cell
calculated volume = 159.7 Å³ per cell
DFT formation energy = -0.842 eV/atom

DFT (PBE) results for a relaxed Zr2SiBiF crystal.

Cell and atoms, written as CIF:
```
data_Zr2SiBiF
_space_group_name_H-M_alt 'P 4/m m m'
_space_group_IT_number 123
_space_group_name_Hall '-P 4 2'
_cell_length_a 4.4662
_cell_length_b 4.4662
_cell_length_c 5.0859
_cell_angle_alpha 90.00
_cell_angle_beta 90.00
_cell_angle_gamma 90.00
loop_
_atom_site_label
_atom_site_type_symbol
_atom_site_fract_x
_atom_site_fract_y
_atom_site_fract_z
Zr1 Zr 0.0000 0.5000 0.0000
Si1 Si 0.0000 0.0000 0.5000
Bi1 Bi 0.5000 0.5000 0.5000
F1 F 0.0000 0.0000 0.0000
```

Output
E = -30.26 eV/cell
calculated volume = 101.5 Å³ per cell
uncorrected formation energy = -0.398 eV per atom

DFT (PBE) results for a relaxed Li2ScIn crystal.

Cell and atoms, written as CIF:
```
data_Li2ScIn
_space_group_name_H-M_alt 'C 1 2/m 1'
_space_group_IT_number 12
_cell_length_a 10.0931
_cell_length_b 3.1667
_cell_length_c 5.2639
_cell_angle_alpha 90.00
_cell_angle_beta 97.87
_cell_angle_gamma 90.00
loop_
_space_group_symop_operation_xyz
'x,y,z'
'-x,-y,-z'
'-x,y,-z'
'x,-y,z'
'x+1/2,y+1/2,z'
'-x+1/2,-y+1/2,-z'
'-x+1/2,y+1/2,-z'
'x+1/2,-y+1/2,z'
loop_
_atom_site_label
_atom_site_type_symbol
_atom_site_fract_x
_atom_site_fract_y
_atom_site_fract_z
Li1 Li 0.2422 0.0000 0.2338
Sc1 Sc 0.0000 0.0000 0.5000
In1 In 0.0000 0.5000 0.0000
```

Output
E = -27.17 eV/cell
calculated volume = 166.7 Å³ per cell
DFT formation energy = -0.172 eV/atom

DFT (PBE) results for a relaxed Sr3GaPd3 crystal.

Cell and atoms, written as CIF:
```
data_Sr3GaPd3
_space_group_name_H-M_alt 'P 63/m'
_space_group_IT_number 176
_space_group_name_Hall '-P 6c'
_cell_length_a 9.0762
_cell_length_b 9.0762
_cell_length_c 6.1309
_cell_angle_alpha 90.00
_cell_angle_beta 90.00
_cell_angle_gamma 120.00
loop_
_atom_site_label
_atom_site_type_symbol
_atom_site_fract_x
_atom_site_fract_y
_atom_site_fract_z
Sr1 Sr 0.0614 0.6996 0.2500
Ga1 Ga 0.3333 0.6667 0.7500
Pd1 Pd 0.0720 0.6871 0.7500
```

Output
E = -53.53 eV/cell
calculated volume = 437.4 Å³ per cell
DFT formation energy = -0.445 eV/atom
distance to the lowest polymorph of the same formula = 0.197 eV per atom